## ScHSe2 (PBE)

Data for a geometry-optimized ScHSe2 structure.

For the density of states at the Fermi level, the calculation gives 0.000 states/eV/atom. As for the total energy: -5.16 eV/atom.

The space group is P1 (No. 1) and the conventional cell measures 3.8731, 7.1188 and 8.1423 Å, with angles of 67.49, 80.11 and 81.87 degrees. Symmetry generates all atoms from Sc at (0.0000, 0.0000, 0.0000), Sc at (0.3654, 0.3885, 0.0725), H at (0.2618, 0.7927, 0.5168), H at (0.3440, 0.6867, 0.5644), Se at (0.4968, 0.2433, 0.8159), Se at (0.5190, 0.7005, 0.1756), Se at (0.8472, 0.6882, 0.8974) and Se at (0.8680, 0.1456, 0.2564).

---

## ScHSe2 (PBE)

Data for a geometry-optimized ScHSe2 structure.

For the density of states at the Fermi level, the calculation gives 0.000 states/eV/atom. As for the total energy: -5.15 eV/atom.

The space group is P1 (No. 1) and the conventional cell measures 3.9602, 6.7819 and 6.7863 Å, with angles of 85.33, 80.27 and 88.74 degrees. Symmetry generates all atoms from Sc at (0.0000, 0.0000, 0.0000), Sc at (0.4960, 0.4922, 0.9807), H at (0.3062, 0.7631, 0.4550), H at (0.7154, 0.4359, 0.3073), Se at (0.0108, 0.2941, 0.2638), Se at (0.0571, 0.6801, 0.7849), Se at (0.4384, 0.8015, 0.2311) and Se at (0.5567, 0.1688, 0.7929).

---

## ScHSe2 (PBE)

Data for a geometry-optimized ScHSe2 structure.

For the density of states at the Fermi level, the calculation gives 0.083 states/eV/atom. As for the total energy: -4.71 eV/atom.

The space group is R3m (No. 160, hexagonal axes) and the conventional cell measures 3.8565, 3.8565 and 22.1191 Å, with angles of 90.00, 90.00 and 120.00 degrees. Symmetry generates all atoms from Sc at (0.0000, 0.0000, 0.0000), H at (0.0000, 0.0000, 0.4409), Se at (0.0000, 0.0000, 0.1139) and Se at (0.0000, 0.0000, 0.6086).

---

## ScHSe2 (PBE)

Data for a geometry-optimized ScHSe2 structure.

For the density of states at the Fermi level, the calculation gives 0.212 states/eV/atom. As for the total energy: -4.71 eV/atom.

The space group is C2/m (No. 12) and the conventional cell measures 7.0108, 3.5680 and 5.9997 Å, with angles of 90.00, 99.99 and 90.00 degrees. Symmetry generates all atoms from Sc at (0.0000, 0.0000, 0.0000), H at (0.0000, 0.0000, 0.5000) and Se at (0.1417, 0.5000, 0.7349).

---

## ScHSe2 (PBE)

Data for a geometry-optimized ScHSe2 structure.

For the density of states at the Fermi level, the calculation gives 0.334 states/eV/atom. As for the total energy: -4.58 eV/atom.

The space group is P4/mmm (No. 123) and the conventional cell measures 3.6739, 3.6739 and 5.5512 Å, with angles of 90.00, 90.00 and 90.00 degrees. Symmetry generates all atoms from Sc at (0.0000, 0.0000, 0.0000), H at (0.5000, 0.5000, 0.5000), Se at (0.0000, 0.0000, 0.5000) and Se at (0.5000, 0.5000, 0.0000).

---

## ScHSe2 (PBE)

Data for a geometry-optimized ScHSe2 structure.

For the density of states at the Fermi level, the calculation gives 0.282 states/eV/atom. As for the total energy: -4.64 eV/atom.

The space group is I4_1/amd (No. 141, origin choice 2) and the conventional cell measures 5.1899, 5.1899 and 11.8638 Å, with angles of 90.00, 90.00 and 90.00 degrees. Symmetry generates all atoms from Sc at (0.0000, 0.2500, 0.3750), H at (0.0000, 0.2500, 0.8750) and Se at (0.0000, 0.2500, 0.1407).

---

## ScHSe2 (PBE)

Data for a geometry-optimized ScHSe2 structure.

For the density of states at the Fermi level, the calculation gives 0.000 states/eV/atom. As for the total energy: -5.17 eV/atom.

The space group is P3m1 (No. 156) and the conventional cell measures 3.9903, 3.9903 and 6.5616 Å, with angles of 90.00, 90.00 and 120.00 degrees. Symmetry generates all atoms from Sc at (0.0000, 0.0000, 0.0000), H at (0.3333, 0.6667, 0.5378), Se at (0.3333, 0.6667, 0.7641) and Se at (0.6667, 0.3333, 0.2044).

---

## ScHSe2 (PBE)

Data for a geometry-optimized ScHSe2 structure.

For the density of states at the Fermi level, the calculation gives 0.000 states/eV/atom. As for the total energy: -5.17 eV/atom.

The space group is Pnma (No. 62) and the conventional cell measures 5.2524, 5.6457 and 11.6066 Å, with angles of 90.00, 90.00 and 90.00 degrees. Symmetry generates all atoms from Sc at (0.0280, 0.2500, 0.1374), H at (0.2303, 0.7500, 0.3734), Se at (0.0103, 0.7500, 0.1074) and Se at (0.0205, 0.2500, 0.3640).

---

## ScHSe2 (PBE)

Data for a geometry-optimized ScHSe2 structure.

For the density of states at the Fermi level, the calculation gives 0.000 states/eV/atom. As for the total energy: -5.19 eV/atom.

The space group is Cm (No. 8) and the conventional cell measures 6.8874, 3.9863 and 6.9837 Å, with angles of 90.00, 109.80 and 90.00 degrees. Symmetry generates all atoms from Sc at (0.0000, 0.0000, 0.0000), H at (0.4907, 0.0000, 0.4680), Se at (0.0942, 0.5000, 0.7910) and Se at (0.4134, 0.0000, 0.2317).

---

## ScHSe2 (PBE)

Data for a geometry-optimized ScHSe2 structure.

For the density of states at the Fermi level, the calculation gives 0.000 states/eV/atom. As for the total energy: -5.09 eV/atom.

The space group is C2/c (No. 15) and the conventional cell measures 7.2031, 8.0401 and 6.7793 Å, with angles of 90.00, 120.84 and 90.00 degrees. Symmetry generates all atoms from Sc at (0.0000, 0.1338, 0.2500), H at (0.0000, 0.1806, 0.7500) and Se at (0.2248, 0.1295, 0.7182).